First-principles (PBE) data for a relaxed Nd2GdTl crystal, as listed in Alexandria.

- relative energy among the computed polymorphs (meV per atom) = 0
- N(E_F) (states/eV/atom) = 1.582

Lattice parameters (Å, degrees): 3.7208 3.7208 9.2880 90.00 90.00 90.00
With the nearest neighbours (Å) after each atom.
Space group P4/mmm (No. 123)
One atom of each set of equivalent atoms:
Nd: 0.0000 0.0000 0.2292  4 Tl 3.38, 4 Gd 3.64, 4 Nd 3.72
Gd: 0.5000 0.5000 0.5000  8 Nd 3.64, 4 Gd 3.72
Tl: 0.5000 0.5000 0.0000  8 Nd 3.38, 4 Tl 3.72

First-principles (PBE) data for a relaxed NdGd2Tl crystal, as listed in Alexandria.

- relative energy among the computed polymorphs (meV per atom) = 0
- N(E_F) (states/eV/atom) = 0.954

Lattice parameters (Å, degrees): 4.9205 4.9205 4.9377 90.00 90.00 90.00
With the nearest neighbours (Å) after each atom.
Space group P4/mmm (No. 123)
One atom of each set of equivalent atoms:
Nd: 0.0000 0.0000 0.0000  4 Tl 3.48, 8 Gd 3.49
Gd: 0.0000 0.5000 0.5000  4 Gd 3.48, 4 Tl 3.49, 4 Nd 3.49
Tl: 0.5000 0.5000 0.0000  4 Nd 3.48, 8 Gd 3.49

First-principles (PBE) data for a relaxed NdGd2Tl crystal, as listed in Alexandria.

- relative energy among the computed polymorphs (meV per atom) = 35
- N(E_F) (states/eV/atom) = 1.030

Lattice parameters (Å, degrees): 3.6598 3.6598 9.2907 90.00 90.00 90.00
With the nearest neighbours (Å) after each atom.
Space group P4/mmm (No. 123)
One atom of each set of equivalent atoms:
Nd: 0.0000 0.0000 0.0000  8 Gd 3.63, 4 Nd 3.66
Gd: 0.5000 0.5000 0.2740  4 Tl 3.33, 4 Nd 3.63, 4 Gd 3.66
Tl: 0.0000 0.0000 0.5000  8 Gd 3.33, 4 Tl 3.66

First-principles (PBE) data for a relaxed Nd2GdTl crystal, as listed in Alexandria.

- relative energy among the computed polymorphs (meV per atom) = 25
- N(E_F) (states/eV/atom) = 1.496

Lattice parameters (Å, degrees): 5.6466 5.6466 3.9008 90.00 90.00 90.00
With the nearest neighbours (Å) after each atom.
Space group P4/mmm (No. 123)
One atom of each set of equivalent atoms:
Nd: 0.0000 0.5000 0.0000  4 Gd 3.43, 4 Tl 3.43
Gd: 0.0000 0.0000 0.5000  8 Nd 3.43
Tl: 0.5000 0.5000 0.5000  8 Nd 3.43

First-principles (PBE) data for a relaxed NdGd2Tl crystal, as listed in Alexandria.

- relative energy among the computed polymorphs (meV per atom) = 156
- N(E_F) (states/eV/atom) = 1.564

Lattice parameters (Å, degrees): 7.8353 7.8353 7.8353 90.00 90.00 90.00
With the nearest neighbours (Å) after each atom.
Space group Fm-3m (No. 225)
One atom of each set of equivalent atoms:
Nd: 0.0000 0.0000 0.0000  8 Gd 3.39
Gd: 0.2500 0.2500 0.2500  4 Tl 3.39, 4 Nd 3.39
Tl: 0.0000 0.0000 0.5000  8 Gd 3.39

First-principles (PBE) data for a relaxed NdGdTmTl crystal, as listed in Alexandria.

- N(E_F) (states/eV/atom) = 1.249

Lattice parameters (Å, degrees): 7.8075 7.8075 7.8075 90.00 90.00 90.00
With the nearest neighbours (Å) after each atom.
Space group F-43m (No. 216)
One atom of each set of equivalent atoms:
Nd: 0.0000 0.0000 0.0000  4 Tl 3.38, 4 Tm 3.38
Gd: 0.0000 0.0000 0.5000  4 Tl 3.38, 4 Tm 3.38
Tm: 0.2500 0.2500 0.2500  4 Gd 3.38, 4 Nd 3.38
Tl: 0.2500 0.2500 0.7500  4 Gd 3.38, 4 Nd 3.38

First-principles (PBE) data for a relaxed NdGdYTl crystal, as listed in Alexandria.

- N(E_F) (states/eV/atom) = 1.486

Lattice parameters (Å, degrees): 7.8250 7.8250 7.8250 90.00 90.00 90.00
With the nearest neighbours (Å) after each atom.
Space group F-43m (No. 216)
One atom of each set of equivalent atoms:
Nd: 0.0000 0.0000 0.0000  4 Gd 3.39, 4 Tl 3.39
Gd: 0.2500 0.2500 0.7500  4 Nd 3.39, 4 Y 3.39
Y: 0.0000 0.0000 0.5000  4 Tl 3.39, 4 Gd 3.39
Tl: 0.2500 0.2500 0.2500  4 Nd 3.39, 4 Y 3.39

First-principles (PBE) data for a relaxed NdGdTlZn crystal, as listed in Alexandria.

- N(E_F) (states/eV/atom) = 0.931

Lattice parameters (Å, degrees): 7.5459 7.5459 7.5459 90.00 90.00 90.00
With the nearest neighbours (Å) after each atom.
Space group F-43m (No. 216)
One atom of each set of equivalent atoms:
Nd: 0.0000 0.0000 0.0000  4 Zn 3.27, 4 Tl 3.27
Gd: 0.0000 0.0000 0.5000  4 Tl 3.27, 4 Zn 3.27
Tl: 0.2500 0.2500 0.2500  4 Gd 3.27, 4 Nd 3.27
Zn: 0.2500 0.2500 0.7500  4 Gd 3.27, 4 Nd 3.27

First-principles (PBE) data for a relaxed NdGdTm2 crystal, as listed in Alexandria.

- relative energy among the computed polymorphs (meV per atom) = 10
- N(E_F) (states/eV/atom) = 1.737

Lattice parameters (Å, degrees): 3.5775 3.5775 9.9682 90.00 90.00 90.00
With the nearest neighbours (Å) after each atom.
Space group P4/mmm (No. 123)
One atom of each set of equivalent atoms:
Nd: 0.0000 0.0000 0.0000  8 Tm 3.57, 4 Nd 3.58
Gd: 0.0000 0.0000 0.5000  8 Tm 3.53, 4 Gd 3.58
Tm: 0.5000 0.5000 0.2525  4 Gd 3.53, 4 Nd 3.57, 4 Tm 3.58

First-principles (PBE) data for a relaxed NdGd2Tm crystal, as listed in Alexandria.

- relative energy among the computed polymorphs (meV per atom) = 73
- N(E_F) (states/eV/atom) = 1.527

Lattice parameters (Å, degrees): 8.0540 8.0540 8.0540 90.00 90.00 90.00
With the nearest neighbours (Å) after each atom.
Space group Fm-3m (No. 225)
One atom of each set of equivalent atoms:
Nd: 0.0000 0.0000 0.0000  8 Gd 3.49
Gd: 0.2500 0.2500 0.2500  4 Nd 3.49, 4 Tm 3.49
Tm: 0.0000 0.0000 0.5000  8 Gd 3.49

First-principles (PBE) data for a relaxed NdGd2Tm crystal, as listed in Alexandria.

- relative energy among the computed polymorphs (meV per atom) = 7
- N(E_F) (states/eV/atom) = 1.941

Lattice parameters (Å, degrees): 3.5888 3.5888 10.1053 90.00 90.00 90.00
With the nearest neighbours (Å) after each atom.
Space group P4/mmm (No. 123)
One atom of each set of equivalent atoms:
Nd: 0.0000 0.0000 0.0000  4 Nd 3.59, 8 Gd 3.63
Gd: 0.5000 0.5000 0.2563  4 Tm 3.54, 4 Gd 3.59, 4 Nd 3.63
Tm: 0.0000 0.0000 0.5000  8 Gd 3.54, 4 Tm 3.59

First-principles (PBE) data for a relaxed NdGd2Tm crystal, as listed in Alexandria.

- relative energy among the computed polymorphs (meV per atom) = 123
- N(E_F) (states/eV/atom) = 1.432

Lattice parameters (Å, degrees): 3.5070 3.5070 37.1775 90.00 90.00 120.00
With the nearest neighbours (Å) after each atom.
Space group R-3m (No. 166, hexagonal axes)
One atom of each set of equivalent atoms:
Nd: 0.0000 0.0000 0.0000  2 Gd 3.37, 6 Nd 3.51
Gd: 0.0000 0.0000 0.0906  1 Nd 3.37, 3 Tm 3.48, 6 Gd 3.51
Tm: 0.0000 0.0000 0.5000  6 Gd 3.48, 6 Tm 3.51

V, record by record: 32.15; 29.89; 31.11; 31.09; 30.06; 29.75; 29.95; 26.85; 31.90; 32.65; 32.54; 33.00 A^3/atom
VASP energy, record by record: -6.65; -9.05; -9.01; -6.62; -8.89; -6.50; -7.00; -5.97; -6.92; -9.26; -9.32; -9.21 eV/atom